An optimized crystal structure of ZrBeCdO2. Source: Alexandria via LeMat-Bulk, functional PBE.

```
ZrBeCdO2
1.0
4.157 0.000 0.000
0.000 4.457 0.000
0.000 0.000 4.157
Be O Zr Cd
1 2 1 1
Cartesian
0.000 2.229 0.000
0.000 0.000 2.078
2.078 0.000 0.000
2.078 2.229 2.078
0.000 0.000 0.000
```

Its calculated volume is 77 Å³/f.u. For the formation energy from raw total energies, the calculation gives 19.9 kJ/mol of atoms. The calculation puts the density at 5.28 Mg/m³.

---

An optimized crystal structure of TcMo2Cl. Source: Alexandria via LeMat-Bulk, functional PBE.

```
TcMo2Cl
1.0
0.000 3.134 3.134
3.134 0.000 3.134
3.134 3.134 0.000
Mo Tc Cl
2 1 1
Cartesian
1.567 1.567 1.567
4.701 4.701 4.701
3.134 3.134 3.134
0.000 0.000 0.000
```

Its calculated volume is 62 Å³/f.u. For the formation energy from raw total energies, the calculation gives 81.4 kJ/mol of atoms. The calculation puts the density at 8.78 Mg/m³. As for the energy above the most stable polymorph in this dataset: 602 meV/atom.

---

An optimized crystal structure of Pu8CoRh5. Source: Alexandria via LeMat-Bulk, functional PBE.

```
Pu8CoRh5
1.0
-5.410 3.588 3.371
-1.368 -7.184 0.123
6.303 1.358 3.454
Pu Co Rh
8 1 5
Cartesian
-1.630 -4.854 0.528
-0.921 3.725 5.887
-2.106 1.442 3.957
1.640 0.613 5.142
-2.025 -2.346 2.502
0.989 -2.953 5.213
0.611 -0.394 2.266
1.539 -4.185 2.294
2.690 -1.676 3.495
-5.145 1.087 3.776
-4.412 -2.781 3.965
-0.973 -1.027 4.762
0.446 2.473 3.412
-2.134 0.474 1.308
```

Its calculated volume is 301 Å³/f.u. The calculation puts the density at 13.92 Mg/m³.

---

An optimized crystal structure of Sr2LaCu. Source: Alexandria via LeMat-Bulk, functional PBE.

```
Sr2LaCu
1.0
0.147 0.501 5.765
-3.324 -3.413 3.288
2.414 -4.170 3.207
Sr Cu La
2 1 1
Cartesian
-0.191 -1.770 3.065
-0.572 -5.311 9.194
0.000 0.000 0.000
-0.381 -3.541 6.130
```

Its calculated volume is 137 Å³/f.u. The calculation puts the density at 4.57 Mg/m³. As for the energy above the most stable polymorph in this dataset: 422 meV/atom.

---

An optimized crystal structure of ErTl2Pt. Source: Alexandria via LeMat-Bulk, functional PBE.

```
ErTl2Pt
1.0
3.599 0.000 0.000
1.800 3.117 0.000
1.800 1.039 10.032
Tl Pt Er
2 1 1
Cartesian
1.800 1.039 6.937
5.399 3.117 3.096
3.599 2.078 5.016
0.000 0.000 0.000
```

Its calculated volume is 113 Å³/f.u. The calculation puts the density at 11.38 Mg/m³.

---

An optimized crystal structure of YBeCrCl2. Source: Alexandria via LeMat-Bulk, functional PBE.

```
YBeCrCl2
1.0
4.589 0.000 0.000
0.000 4.589 0.000
0.000 0.000 6.150
Y Cr Be Cl
1 1 1 2
Cartesian
0.000 0.000 3.075
0.000 0.000 0.000
2.295 2.295 3.075
0.000 2.295 0.000
2.295 0.000 0.000
```

Its calculated volume is 130 Å³/f.u. For the formation energy from raw total energies, the calculation gives 22.0 kJ/mol of atoms. The calculation puts the density at 2.83 Mg/m³.

---

An optimized crystal structure of AsH2OsCl. Source: Alexandria via LeMat-Bulk, functional PBE.

```
AsH2OsCl
1.0
3.467 0.000 0.000
0.000 5.656 0.000
0.000 0.000 3.467
H As Os Cl
2 1 1 1
Cartesian
0.000 0.000 1.733
1.733 0.000 0.000
1.733 2.828 1.733
0.000 2.828 0.000
0.000 0.000 0.000
```

Its calculated volume is 68 Å³/f.u. The calculation puts the density at 7.39 Mg/m³. As for the energy above the most stable polymorph in this dataset: 0 meV/atom.

---

An optimized crystal structure of LaAs2Ru. Source: Alexandria via LeMat-Bulk, functional PBE.

```
LaAs2Ru
1.0
-3.374 -4.146 3.284
-2.159 -5.885 -0.256
0.488 -5.546 2.892
Ru As La
1 2 1
Cartesian
-3.413 -10.540 4.006
-0.277 -0.855 0.325
-1.399 -4.321 1.642
-2.477 -7.650 2.908
```

Its calculated volume is 86 Å³/f.u. The calculation puts the density at 7.56 Mg/m³. As for the energy above the most stable polymorph in this dataset: 140 meV/atom.

---

An optimized crystal structure of Pm4Er3. Source: Alexandria via LeMat-Bulk, functional PBE.

```
Pm4Er3
1.0
-4.017 -0.021 3.102
0.142 -8.040 0.130
5.414 0.940 2.867
Pm Er
4 3
Cartesian
0.508 -3.956 4.784
1.031 -3.165 1.313
-0.529 -0.748 3.462
2.068 -6.373 2.636
0.000 0.000 0.000
-1.423 -5.619 2.271
2.962 -1.502 3.826
```

Its calculated volume is 228 Å³/f.u. The calculation puts the density at 7.86 Mg/m³. As for the energy above the most stable polymorph in this dataset: 0 meV/atom.

---

An optimized crystal structure of SrCa2Cd2Hg2. Source: Alexandria via LeMat-Bulk, functional PBE.

```
SrCa2Cd2Hg2
1.0
-2.873 2.785 3.101
0.829 -0.104 4.992
5.469 8.207 1.828
Sr Ca Cd Hg
1 2 2 2
Cartesian
0.000 0.000 0.000
3.111 5.402 2.162
0.315 5.486 7.760
2.667 8.282 7.427
0.759 2.606 2.494
0.025 3.436 5.199
3.401 7.451 4.722
```

Its calculated volume is 213 Å³/f.u. The calculation puts the density at 6.19 Mg/m³.

---

An optimized crystal structure of Pr3Tm3ScSe8. Source: Alexandria via LeMat-Bulk, functional PBE.

```
Pr3Tm3ScSe8
1.0
8.151 0.000 0.000
-4.075 7.058 -0.025
0.000 -4.682 6.860
Pr Tm Sc Se
3 3 1 8
Cartesian
0.000 0.000 0.000
-2.038 3.529 -0.013
2.038 3.529 -0.013
4.075 -2.341 3.430
2.038 1.188 3.417
-2.038 1.188 3.417
0.000 -2.341 3.430
0.000 2.359 1.848
4.075 0.018 4.986
4.075 2.364 1.853
0.000 0.013 4.982
6.120 -1.171 1.861
-2.045 3.547 4.973
2.030 -1.171 1.861
2.045 3.547 4.973
```

Its calculated volume is 394 Å³/f.u. For the formation energy from raw total energies, the calculation gives -174.4 kJ/mol of atoms. The calculation puts the density at 6.77 Mg/m³.

---

An optimized crystal structure of TiBi2Pb. Source: Alexandria via LeMat-Bulk, functional PBE.

```
TiBi2Pb
1.0
-2.777 -1.957 -0.556
-0.481 -2.869 1.841
-6.738 4.240 8.064
Pb Bi Ti
1 2 1
Cartesian
0.000 0.000 0.000
-5.029 2.472 5.755
-4.967 -3.057 3.594
-4.998 -0.293 4.674
```

Its calculated volume is 114 Å³/f.u. The calculation puts the density at 9.76 Mg/m³. As for the energy above the most stable polymorph in this dataset: 0 meV/atom.

---

An optimized crystal structure of LiY2Mn2. Source: Alexandria via LeMat-Bulk, functional PBE.

```
LiY2Mn2
1.0
-2.824 -3.771 6.030
-4.826 -3.749 -4.605
2.599 -2.737 -0.495
Y Mn Li
4 4 2
Cartesian
-2.435 -4.542 -2.304
-4.593 -7.007 -0.001
-2.617 -5.715 3.234
-0.459 -3.250 0.931
-5.353 -4.765 -1.755
-5.469 -5.643 2.497
-2.297 -2.756 3.180
-2.181 -1.877 -1.072
0.000 0.000 0.000
-3.825 -3.760 0.712
```

Its calculated volume is 111 Å³/f.u. The calculation puts the density at 4.39 Mg/m³. As for the energy above the most stable polymorph in this dataset: 0 meV/atom.

---

An optimized crystal structure of Na5ICl4. Source: Alexandria via LeMat-Bulk, functional PBE.

```
Na5ICl4
1.0
-3.131 -0.130 2.796
0.999 -3.971 0.933
10.170 6.788 8.550
Na I Cl
5 1 4
Cartesian
1.980 1.030 2.265
-1.066 -2.051 1.865
6.058 1.656 10.015
5.437 2.829 6.220
2.601 -0.143 6.060
0.000 0.000 0.000
7.181 3.737 8.216
4.345 0.765 8.055
3.693 1.922 4.225
0.856 -1.050 4.064
```

Its calculated volume is 258 Å³/f.u. For the formation energy from raw total energies, the calculation gives -160.2 kJ/mol of atoms. The calculation puts the density at 2.47 Mg/m³. As for the energy above the most stable polymorph in this dataset: 7 meV/atom.

---

An optimized crystal structure of LaBiAu3. Source: Alexandria via LeMat-Bulk, functional PBE.

```
LaBiAu3
1.0
-0.857 -2.710 3.702
3.235 -1.863 -0.614
5.183 10.027 8.540
La Bi Au
2 2 6
Cartesian
0.827 0.715 2.186
6.734 4.740 9.442
5.372 3.700 5.423
2.189 1.755 6.204
4.910 6.176 7.128
2.651 -0.722 4.499
6.237 7.952 8.736
1.324 -2.497 2.892
3.687 3.759 8.019
3.874 1.695 3.609
```

Its calculated volume is 124 Å³/f.u. The calculation puts the density at 12.59 Mg/m³. As for the energy above the most stable polymorph in this dataset: 4 meV/atom.

---

An optimized crystal structure of K2Na5Pb12. Source: Alexandria via LeMat-Bulk, functional PBE.

```
K2Na5Pb12
1.0
8.591 0.306 1.054
0.969 8.541 1.054
0.330 0.306 8.649
K Na Pb
2 5 12
Cartesian
6.395 5.918 6.956
3.495 3.234 3.801
0.165 0.153 4.324
0.485 4.271 0.527
4.295 0.153 0.527
8.939 8.272 9.723
0.951 0.880 1.034
3.236 6.092 1.054
6.134 0.306 3.313
0.520 2.755 6.390
6.324 2.755 1.054
2.787 0.306 6.390
0.779 6.092 3.313
3.610 3.341 8.011
3.925 7.399 4.269
7.680 3.341 4.269
5.965 1.753 6.488
6.280 5.812 2.746
2.210 5.812 6.488
```

Its calculated volume is 627 Å³/f.u. The calculation puts the density at 7.10 Mg/m³.

---

An optimized crystal structure of PmPa2Bi. Source: Alexandria via LeMat-Bulk, functional PBE.

```
PmPa2Bi
1.0
-2.272 -2.385 -4.059
-3.534 -1.144 2.651
-2.097 3.896 -1.116
Pa Bi Pm
2 1 1
Cartesian
-1.049 1.948 -0.558
-1.767 -0.572 1.325
-1.136 -1.193 -2.029
-3.952 0.184 -1.262
```

Its calculated volume is 109 Å³/f.u. The calculation puts the density at 12.45 Mg/m³. As for the energy above the most stable polymorph in this dataset: 0 meV/atom.

---

An optimized crystal structure of Na2SmScO4. Source: Alexandria via LeMat-Bulk, functional PBE.

```
Na2SmScO4
1.0
3.367 0.000 0.000
0.000 5.829 0.096
0.000 -2.041 5.524
Na Sm Sc O
2 1 1 4
Cartesian
1.684 -1.020 2.762
0.000 1.894 2.810
1.684 2.914 0.048
0.000 0.000 0.000
1.684 0.859 1.163
1.684 2.929 4.456
0.000 -0.204 4.385
0.000 3.992 1.235
```

Its calculated volume is 109 Å³/f.u. For the formation energy from raw total energies, the calculation gives -262.1 kJ/mol of atoms. The calculation puts the density at 4.65 Mg/m³.

---

An optimized crystal structure of PmTm2Cd. Source: Alexandria via LeMat-Bulk, functional PBE.

```
PmTm2Cd
1.0
3.560 0.000 0.000
1.780 3.083 0.000
1.780 1.028 10.724
Cd Tm Pm
1 2 1
Cartesian
0.000 0.000 0.000
1.780 1.028 2.467
5.340 3.083 8.257
3.560 2.055 5.362
```

Its calculated volume is 118 Å³/f.u. The calculation puts the density at 8.40 Mg/m³. As for the energy above the most stable polymorph in this dataset: 72 meV/atom.

---

An optimized crystal structure of LaAs4. Source: Alexandria via LeMat-Bulk, functional PBE.

```
LaAs4
1.0
-4.295 -6.089 0.433
-2.086 -4.492 5.585
0.858 6.970 -2.529
La As
1 4
Cartesian
0.000 0.000 0.000
-3.314 -2.205 0.457
-2.209 -1.406 3.032
-3.773 -6.257 3.559
-2.608 -4.324 2.459
```

Its calculated volume is 117 Å³/f.u. The calculation puts the density at 6.24 Mg/m³. As for the energy above the most stable polymorph in this dataset: 0 meV/atom.

---

Number 1: energy -0.3245 Ry/atom. Number 2: energy -0.5605 Ry/atom. Number 3: energy -0.8546 Ry/atom. Number 4: energy -0.1955 Ry/atom. Number 5: energy -0.2711 Ry/atom. Number 6: energy -0.3287 Ry/atom. Number 7: energy -0.2884 Ry/atom. Number 8: energy -0.4884 Ry/atom. Number 9: energy -0.3420 Ry/atom. Number 10: energy -0.1103 Ry/atom. Number 11: energy -0.4364 Ry/atom. Number 12: energy -0.3562 Ry/atom. Number 13: energy -0.4714 Ry/atom. Number 14: energy -0.2362 Ry/atom. Number 15: energy -0.3128 Ry/atom. Number 16: energy -0.2149 Ry/atom. Number 17: energy -0.5128 Ry/atom. Number 18: energy -0.5076 Ry/atom. Number 19: energy -0.2741 Ry/atom. Number 20: energy -0.3670 Ry/atom.